# GGA-PBE Cs2BeAs2Au, optimized geometry
data_Cs2BeAs2Au
_cell_length_a 6.403
_cell_length_b 21.085
_cell_length_c 6.045
_cell_angle_alpha 90.00
_cell_angle_beta 90.00
_cell_angle_gamma 90.00
_symmetry_space_group_name_H-M 'I b a m'
_symmetry_Int_Tables_number 72
_symmetry_space_group_name_Hall '-I 2 2c'
loop_
_atom_site_label
_atom_site_type_symbol
_atom_site_fract_x
_atom_site_fract_y
_atom_site_fract_z
Cs1 Cs 0.232 0.144 0.000
Be1 Be 0.000 0.500 0.250
As1 As 0.207 0.440 0.000
Au1 Au 0.000 0.000 0.250
# DFT formation energy (meV per atom): -224
# Final energy (eV per atom): -3.2253
# Crystal system: orthorhombic
# Fermi-level density of states (states/eV/atom): 0.62

---

# GGA-PBE BeFe2AsAu, optimized geometry
data_BeFe2AsAu
_cell_length_a 4.397
_cell_length_b 4.397
_cell_length_c 4.810
_cell_angle_alpha 90.00
_cell_angle_beta 90.00
_cell_angle_gamma 90.00
_symmetry_space_group_name_H-M 'P 4/m m m'
_symmetry_Int_Tables_number 123
_symmetry_space_group_name_Hall '-P 4 2'
loop_
_atom_site_label
_atom_site_type_symbol
_atom_site_fract_x
_atom_site_fract_y
_atom_site_fract_z
Be1 Be 0.000 0.000 0.000
Fe1 Fe 0.000 0.500 0.500
As1 As 0.500 0.500 0.500
Au1 Au 0.500 0.500 0.000
# DFT formation energy (meV per atom): 995
# Final energy (eV per atom): -4.7206
# Crystal system: tetragonal
# Fermi-level density of states (states/eV/atom): 1.30

---

# GGA-PBE Be2AsAuI, optimized geometry
data_Be2AsAuI
_cell_length_a 4.713
_cell_length_b 4.713
_cell_length_c 5.317
_cell_angle_alpha 90.00
_cell_angle_beta 90.00
_cell_angle_gamma 90.00
_symmetry_space_group_name_H-M 'P 4/m m m'
_symmetry_Int_Tables_number 123
_symmetry_space_group_name_Hall '-P 4 2'
loop_
_atom_site_label
_atom_site_type_symbol
_atom_site_fract_x
_atom_site_fract_y
_atom_site_fract_z
Be1 Be 0.000 0.500 0.000
As1 As 0.000 0.000 0.500
Au1 Au 0.500 0.500 0.500
I1 I 0.500 0.500 0.000
# Final energy (eV per atom): -1.9083
# Crystal system: tetragonal
# Formation energy from raw total energies (eV per atom): 1.4776
# Fermi-level density of states (states/eV/atom): 0.58

---

Q: Which value of final energy does entry 3 give?
A: -1.9083 eV per atom